## one
! SCAN LaZrZn3, single point on PBEsol structure; values from VASP
! Magnetic moment in μB per formula unit: 0.001
&SYSTEM
  ibrav = 0, nat = 5, ntyp = 3
/
ATOMIC_SPECIES
Zn 65.41 Zn.upf
Zr 91.22 Zr.upf
La 138.91 La.upf
CELL_PARAMETERS angstrom
-4.370 0.828 -2.476
-0.673 -5.021 -0.491
-2.522 -0.094 4.420
ATOMIC_POSITIONS angstrom
Zn -0.337 -2.511 -0.246
Zn -1.261 -0.047 2.210
Zn -2.185 0.414 -1.238
Zr -3.783 -2.144 0.727
La 0.000 0.000 0.000

***

## two
! SCAN LaZrZn3, single point on PBEsol structure; values from VASP
! Magnetic moment in μB per formula unit: 1.957
&SYSTEM
  ibrav = 0, nat = 5, ntyp = 3
/
ATOMIC_SPECIES
Zn 65.41 Zn.upf
Zr 91.22 Zr.upf
La 138.91 La.upf
CELL_PARAMETERS angstrom
-0.798 4.294 -2.422
-3.055 1.495 3.657
3.870 2.065 2.388
ATOMIC_POSITIONS angstrom
Zn -1.528 0.748 1.829
Zn 1.935 1.033 1.194
Zn -0.399 2.147 -1.211
Zr 0.000 0.000 0.000
La 0.009 3.928 1.812

***

The energy of each structure relative to the most stable one, in meV per atom, is as follows: one 940; two 0.